# Ta2Ti2Bi

Crystalline Ta2Ti2Bi at its relaxed geometry (GGA-PBE, Alexandria via LeMat-Bulk).

```
Ta2Ti2Bi
1.0
7.295 0.000 0.000
0.000 7.295 0.000
0.000 0.000 3.634
Ta Ti Bi
4 4 2
Direct
0.176 0.324 0.000
0.324 0.824 0.000
0.676 0.176 0.000
0.824 0.676 0.000
0.122 0.622 0.500
0.378 0.122 0.500
0.622 0.878 0.500
0.878 0.378 0.500
0.000 0.000 0.500
0.500 0.500 0.500
```

Calculated values
formation energy from the elements	0.35	eV per atom
total magnetic moment	0.00	μB/atom
crystal system	tetragonal
VASP energy	-8.3252	eV per atom
energy above the lowest structure with this stoichiometry	0.0000	eV/atom
density	11.448	g/cm3

# Ta2TiBi

Crystalline Ta2TiBi at its relaxed geometry (GGA-PBE, Alexandria via LeMat-Bulk).

```
Ta2TiBi
1.0
-2.018 2.018 10.362
2.018 -2.018 10.362
2.018 2.018 -10.362
Ta Ti Bi
4 2 2
Direct
0.120 0.625 0.995
0.375 0.370 0.495
0.630 0.125 0.005
0.875 0.880 0.505
0.000 0.000 0.000
0.750 0.250 0.500
0.250 0.750 0.500
0.500 0.500 0.000
```

Calculated values
formation energy from the elements	0.59	eV per atom
total magnetic moment	0.00	μB/atom
crystal system	tetragonal
VASP energy	-8.2786	eV per atom
density	12.177	g/cm3

# Ta2Ti2Bi

Crystalline Ta2Ti2Bi at its relaxed geometry (GGA-PBE, Alexandria via LeMat-Bulk).

```
Ta2Ti2Bi
1.0
-1.952 1.952 6.942
1.952 -1.952 6.942
1.952 1.952 -6.942
Ta Ti Bi
2 2 1
Direct
0.250 0.750 0.500
0.750 0.250 0.500
0.103 0.103 0.000
0.897 0.897 0.000
0.500 0.500 0.000
```

Calculated values
formation energy from the elements	0.50	eV per atom
total magnetic moment	0.00	μB/atom
crystal system	tetragonal
VASP energy	-8.1784	eV per atom
energy above the lowest structure with this stoichiometry	0.1468	eV/atom
density	10.463	g/cm3

# TaTiBi2

Crystalline TaTiBi2 at its relaxed geometry (GGA-PBE, Alexandria via LeMat-Bulk).

```
TaTiBi2
1.0
-3.938 3.938 3.170
3.938 -3.938 3.170
3.938 3.938 -3.170
Ta Ti Bi
2 2 4
Direct
0.000 0.000 0.000
0.750 0.250 0.500
0.250 0.750 0.500
0.500 0.500 0.000
0.127 0.625 0.002
0.375 0.377 0.502
0.623 0.125 0.998
0.875 0.873 0.498
```

Calculated values
formation energy from the elements	0.74	eV per atom
total magnetic moment	0.00	μB/atom
crystal system	tetragonal
VASP energy	-6.1334	eV per atom
energy above the lowest structure with this stoichiometry	0.4403	eV/atom
density	10.922	g/cm3

# TaTiBi3

Crystalline TaTiBi3 at its relaxed geometry (GGA-PBE, Alexandria via LeMat-Bulk).

```
TaTiBi3
1.0
5.481 0.000 0.000
0.000 5.481 0.000
0.000 0.000 5.481
Ta Ti Bi
1 1 3
Direct
0.000 0.000 0.000
0.500 0.500 0.500
0.000 0.000 0.500
0.000 0.500 0.000
0.500 0.000 0.000
```

Calculated values
formation energy from the elements	1.05	eV per atom
total magnetic moment	0.04	μB/atom
crystal system	cubic
VASP energy	-5.2261	eV per atom
energy above the lowest structure with this stoichiometry	0.0000	eV/atom
density	8.630	g/cm3

# Y2TaTiBi

Crystalline Y2TaTiBi at its relaxed geometry (GGA-PBE, Alexandria via LeMat-Bulk).

```
Y2TaTiBi
1.0
5.420 0.000 0.000
0.000 5.420 0.000
0.000 0.000 5.407
Y Ta Ti Bi
2 1 1 1
Direct
0.000 0.500 0.000
0.500 0.000 0.000
0.000 0.000 0.000
0.500 0.500 0.500
0.000 0.000 0.500
```

Calculated values
formation energy from the elements	0.99	eV per atom
total magnetic moment	0.09	μB/atom
crystal system	tetragonal
VASP energy	-6.3246	eV per atom
density	6.435	g/cm3

Question: Which value of total magnetic moment does entry 2 give?
Answer: 0.00 μB/atom